[1]
Computed, not measured: a relaxed structure of BaRePt at the GGA-PBE level of DFT.

Values from the calculation:
E: -58.16 eV for the cell shown
Size of the total moment: 1.147 μB per atom

The structure in CIF format:
```
data_BaRePt
_cell_length_a 6.990
_cell_length_b 6.990
_cell_length_c 6.990
_cell_angle_alpha 90.00
_cell_angle_beta 90.00
_cell_angle_gamma 90.00
_symmetry_space_group_name_H-M 'F -4 3 m'
_symmetry_Int_Tables_number 216
_symmetry_space_group_name_Hall 'F -4 2 3'
loop_
_atom_site_label
_atom_site_type_symbol
_atom_site_fract_x
_atom_site_fract_y
_atom_site_fract_z
Ba1 Ba 0.000 0.000 0.000
Re1 Re 0.250 0.250 0.250
Pt1 Pt 0.250 0.250 0.750
```

[2]
Computed, not measured: a relaxed structure of BaPtS3 at the GGA-PBE level of DFT.

Values from the calculation:
E: -50.38 eV for the cell shown
Size of the total moment: 0.000 μB per atom

The structure in CIF format:
```
data_BaPtS3
_cell_length_a 6.6829
_cell_length_b 6.6829
_cell_length_c 6.2248
_cell_angle_alpha 90.00
_cell_angle_beta 90.00
_cell_angle_gamma 120.00
_symmetry_space_group_name_H-M 'P 63/m m c'
_symmetry_Int_Tables_number 194
_symmetry_space_group_name_Hall '-P 6c 2c'
loop_
_atom_site_label
_atom_site_type_symbol
_atom_site_fract_x
_atom_site_fract_y
_atom_site_fract_z
Ba1 Ba 0.3333 0.6667 0.2500
Pt1 Pt 0.0000 0.0000 0.0000
S1 S 0.1594 0.3187 0.7500
```

[3]
Computed, not measured: a relaxed structure of Ba2TaPtS6 at the GGA-PBE level of DFT.

Values from the calculation:
E: -115.85 eV for the cell shown
Size of the total moment: 0.000 μB per atom

The structure in CIF format:
```
data_Ba2TaPtS6
_cell_length_a 6.605
_cell_length_b 6.605
_cell_length_c 10.576
_cell_angle_alpha 90.00
_cell_angle_beta 90.00
_cell_angle_gamma 90.00
_symmetry_space_group_name_H-M 'I 4/m'
_symmetry_Int_Tables_number 87
_symmetry_space_group_name_Hall '-I 4'
loop_
_atom_site_label
_atom_site_type_symbol
_atom_site_fract_x
_atom_site_fract_y
_atom_site_fract_z
Ba1 Ba 0.000 0.500 0.250
Ta1 Ta 0.000 0.000 0.000
Pt1 Pt 0.000 0.000 0.500
S1 S 0.000 0.000 0.240
S2 S 0.186 0.689 0.500
```

[4]
Computed, not measured: a relaxed structure of Ba2YPtS6 at the GGA-PBE level of DFT.

Values from the calculation:
E: -53.87 eV for the cell shown
Size of the total moment: 0.000 μB per atom

The structure in CIF format:
```
data_Ba2YPtS6
_cell_length_a 7.064
_cell_length_b 7.067
_cell_length_c 7.069
_cell_angle_alpha 60.09
_cell_angle_beta 60.05
_cell_angle_gamma 60.05
_symmetry_space_group_name_H-M 'P -1'
_symmetry_Int_Tables_number 2
_symmetry_space_group_name_Hall '-P 1'
loop_
_atom_site_label
_atom_site_type_symbol
_atom_site_fract_x
_atom_site_fract_y
_atom_site_fract_z
Ba1 Ba 0.250 0.250 0.250
Y1 Y 0.000 0.000 0.000
Pt1 Pt 0.500 0.500 0.500
S1 S 0.253 0.273 0.743
S2 S 0.265 0.752 0.722
S3 S 0.272 0.731 0.255
```

[5]
Computed, not measured: a relaxed structure of Ba2YPtS6 at the GGA-PBE level of DFT.

Values from the calculation:
E: -107.72 eV for the cell shown
Size of the total moment: 0.000 μB per atom

The structure in CIF format:
```
data_Ba2YPtS6
_cell_length_a 7.068
_cell_length_b 7.068
_cell_length_c 9.999
_cell_angle_alpha 90.00
_cell_angle_beta 90.00
_cell_angle_gamma 90.00
_symmetry_space_group_name_H-M 'I 4/m'
_symmetry_Int_Tables_number 87
_symmetry_space_group_name_Hall '-I 4'
loop_
_atom_site_label
_atom_site_type_symbol
_atom_site_fract_x
_atom_site_fract_y
_atom_site_fract_z
Ba1 Ba 0.000 0.500 0.250
Y1 Y 0.000 0.000 0.000
Pt1 Pt 0.000 0.000 0.500
S1 S 0.000 0.000 0.263
S2 S 0.230 0.244 0.500
```

[6]
Computed, not measured: a relaxed structure of Ba2ZrPtS6 at the GGA-PBE level of DFT.

Values from the calculation:
E: -222.55 eV for the cell shown
Size of the total moment: 0.000 μB per atom

The structure in CIF format:
```
data_Ba2ZrPtS6
_cell_length_a 9.820
_cell_length_b 9.820
_cell_length_c 9.820
_cell_angle_alpha 90.00
_cell_angle_beta 90.00
_cell_angle_gamma 90.00
_symmetry_space_group_name_H-M 'F m -3 m'
_symmetry_Int_Tables_number 225
_symmetry_space_group_name_Hall '-F 4 2 3'
loop_
_atom_site_label
_atom_site_type_symbol
_atom_site_fract_x
_atom_site_fract_y
_atom_site_fract_z
Ba1 Ba 0.250 0.250 0.250
Zr1 Zr 0.000 0.000 0.000
Pt1 Pt 0.000 0.000 0.500
S1 S 0.000 0.000 0.257
```

[7]
Computed, not measured: a relaxed structure of BaSbPt at the GGA-PBE level of DFT.

Values from the calculation:
E: -14.94 eV for the cell shown
Size of the total moment: 0.000 μB per atom

The structure in CIF format:
```
data_BaSbPt
_cell_length_a 4.5964
_cell_length_b 4.5964
_cell_length_c 4.9171
_cell_angle_alpha 90.00
_cell_angle_beta 90.00
_cell_angle_gamma 120.00
_symmetry_space_group_name_H-M 'P -6 m 2'
_symmetry_Int_Tables_number 187
_symmetry_space_group_name_Hall 'P -6 2'
loop_
_atom_site_label
_atom_site_type_symbol
_atom_site_fract_x
_atom_site_fract_y
_atom_site_fract_z
Ba1 Ba 0.0000 0.0000 0.0000
Sb1 Sb 0.6667 0.3333 0.5000
Pt1 Pt 0.3333 0.6667 0.5000
```

[8]
Computed, not measured: a relaxed structure of BaSnSbPt2 at the GGA-PBE level of DFT.

Values from the calculation:
E: -52.45 eV for the cell shown
Size of the total moment: 0.001 μB per atom

The structure in CIF format:
```
data_BaSnSbPt2
_cell_length_a 4.820
_cell_length_b 4.752
_cell_length_c 10.774
_cell_angle_alpha 90.00
_cell_angle_beta 91.38
_cell_angle_gamma 90.00
_symmetry_space_group_name_H-M 'P 1 21/m 1'
_symmetry_Int_Tables_number 11
_symmetry_space_group_name_Hall '-P 2yb'
loop_
_atom_site_label
_atom_site_type_symbol
_atom_site_fract_x
_atom_site_fract_y
_atom_site_fract_z
Ba1 Ba 0.241 0.250 0.245
Sn1 Sn 0.248 0.750 0.500
Sb1 Sb 0.290 0.250 0.880
Pt1 Pt 0.194 0.750 0.998
Pt2 Pt 0.258 0.250 0.626
```

[9]
Computed, not measured: a relaxed structure of BaSnSbPt2 at the GGA-PBE level of DFT.

Values from the calculation:
E: -52.31 eV for the cell shown
Size of the total moment: 0.000 μB per atom

The structure in CIF format:
```
data_BaSnSbPt2
_cell_length_a 4.931
_cell_length_b 4.818
_cell_length_c 10.469
_cell_angle_alpha 90.00
_cell_angle_beta 92.22
_cell_angle_gamma 90.00
_symmetry_space_group_name_H-M 'P 1 21/m 1'
_symmetry_Int_Tables_number 11
_symmetry_space_group_name_Hall '-P 2yb'
loop_
_atom_site_label
_atom_site_type_symbol
_atom_site_fract_x
_atom_site_fract_y
_atom_site_fract_z
Ba1 Ba 0.237 0.250 0.249
Sn1 Sn 0.299 0.250 0.887
Sb1 Sb 0.248 0.750 0.499
Pt1 Pt 0.188 0.750 0.998
Pt2 Pt 0.263 0.250 0.621
```

[10]
Computed, not measured: a relaxed structure of BaSnSbPt2 at the GGA-PBE level of DFT.

Values from the calculation:
E: -52.37 eV for the cell shown
Size of the total moment: 0.001 μB per atom

The structure in CIF format:
```
data_BaSnSbPt2
_cell_length_a 4.772
_cell_length_b 4.772
_cell_length_c 10.830
_cell_angle_alpha 90.00
_cell_angle_beta 90.00
_cell_angle_gamma 90.00
_symmetry_space_group_name_H-M 'P 4/n m m'
_symmetry_Int_Tables_number 129
loop_
_symmetry_equiv_pos_as_xyz
'x,y,z'
'-x,-y,-z'
'-y+1/2,x,z'
'y+1/2,-x,-z'
'-x+1/2,-y+1/2,z'
'x+1/2,y+1/2,-z'
'y,-x+1/2,z'
'-y,x+1/2,-z'
'x+1/2,-y,-z'
'-x+1/2,y,z'
'-y,-x,-z'
'y,x,z'
'-x,y+1/2,-z'
'x,-y+1/2,z'
'y+1/2,x+1/2,-z'
'-y+1/2,-x+1/2,z'
loop_
_atom_site_label
_atom_site_type_symbol
_atom_site_fract_x
_atom_site_fract_y
_atom_site_fract_z
Ba1 Ba 0.250 0.250 0.245
Sn1 Sn 0.250 0.750 0.500
Sb1 Sb 0.250 0.250 0.877
Pt1 Pt 0.250 0.250 0.626
Pt2 Pt 0.250 0.750 0.000
```

[11]
Computed, not measured: a relaxed structure of BaScPt at the GGA-PBE level of DFT.

Values from the calculation:
E: -60.84 eV for the cell shown
Size of the total moment: 0.008 μB per atom

The structure in CIF format:
```
data_BaScPt
_cell_length_a 7.116
_cell_length_b 7.116
_cell_length_c 7.116
_cell_angle_alpha 90.00
_cell_angle_beta 90.00
_cell_angle_gamma 90.00
_symmetry_space_group_name_H-M 'F -4 3 m'
_symmetry_Int_Tables_number 216
_symmetry_space_group_name_Hall 'F -4 2 3'
loop_
_atom_site_label
_atom_site_type_symbol
_atom_site_fract_x
_atom_site_fract_y
_atom_site_fract_z
Ba1 Ba 0.000 0.000 0.000
Sc1 Sc 0.000 0.000 0.500
Pt1 Pt 0.250 0.250 0.250
```

[12]
Computed, not measured: a relaxed structure of Ba2ScPtSe6 at the GGA-PBE level of DFT.

Values from the calculation:
E: -48.50 eV for the cell shown
Size of the total moment: 0.000 μB per atom

The structure in CIF format:
```
data_Ba2ScPtSe6
_cell_length_a 7.247
_cell_length_b 7.249
_cell_length_c 7.251
_cell_angle_alpha 60.04
_cell_angle_beta 60.03
_cell_angle_gamma 60.02
_symmetry_space_group_name_H-M 'P -1'
_symmetry_Int_Tables_number 2
_symmetry_space_group_name_Hall '-P 1'
loop_
_atom_site_label
_atom_site_type_symbol
_atom_site_fract_x
_atom_site_fract_y
_atom_site_fract_z
Ba1 Ba 0.250 0.250 0.250
Sc1 Sc 0.000 0.000 0.000
Pt1 Pt 0.500 0.500 0.500
Se1 Se 0.254 0.258 0.742
Se2 Se 0.254 0.747 0.741
Se3 Se 0.261 0.743 0.252
```

Q: Which formula does entry 8 have?
A: BaSnSbPt2

Q: Which of these has the highest size of the total moment?
A: BaRePt

Q: The highest size of the total moment belongs to which entry?
A: BaRePt